(one)
{
  "formula": "SrCaS2Cl",
  "functional": "GGA-PBE",
  "state": "relaxed",
  "lattice_angstrom": [[5.020, 0.000, 0.000], [0.000, 5.020, 0.000], [0.000, 0.000, 7.156]],
  "species": ["Sr", "Ca", "S", "S", "Cl"],
  "fractional_positions": [[0.000, 0.000, 0.000], [0.000, 0.000, 0.500], [0.000, 0.500, 0.500], [0.500, 0.000, 0.500], [0.500, 0.500, 0.000]],
  "magnetic_moment_mub_per_fu": 0.00
}

---

(two)
{
  "formula": "SrCaS2Cl",
  "functional": "GGA-PBE",
  "state": "relaxed",
  "lattice_angstrom": [[5.235, 0.000, 0.000], [0.000, 5.235, 0.000], [0.000, 0.000, 5.226]],
  "species": ["Sr", "Ca", "S", "S", "Cl"],
  "fractional_positions": [[0.000, 0.000, 0.000], [0.500, 0.500, 0.500], [0.000, 0.500, 0.500], [0.500, 0.000, 0.500], [0.500, 0.500, 0.000]],
  "magnetic_moment_mub_per_fu": 0.00
}

---

(three)
{
  "formula": "SrCaS2Cl",
  "functional": "GGA-PBE",
  "state": "relaxed",
  "lattice_angstrom": [[5.480, 0.000, 0.000], [0.000, 5.480, 0.000], [0.000, 0.000, 5.393]],
  "species": ["Sr", "Ca", "S", "S", "Cl"],
  "fractional_positions": [[0.000, 0.000, 0.000], [0.500, 0.500, 0.500], [0.000, 0.500, 0.000], [0.500, 0.000, 0.000], [0.000, 0.000, 0.500]],
  "magnetic_moment_mub_per_fu": 0.50
}

---

Short version: (one) is the least stable of them.

---

(one)
{
  "formula": "CaTeSCl2",
  "functional": "GGA-PBE",
  "state": "relaxed",
  "lattice_angstrom": [[5.425, 0.000, 0.000], [0.000, 5.425, 0.000], [0.000, 0.000, 5.290]],
  "species": ["Ca", "Te", "S", "Cl", "Cl"],
  "fractional_positions": [[0.000, 0.000, 0.000], [0.500, 0.500, 0.500], [0.500, 0.500, 0.000], [0.000, 0.500, 0.500], [0.500, 0.000, 0.500]],
  "magnetic_moment_mub_per_fu": 0.00
}

---

(two)
{
  "formula": "CaTeSCl2",
  "functional": "GGA-PBE",
  "state": "relaxed",
  "lattice_angstrom": [[5.072, 0.000, 0.000], [0.000, 5.072, 0.000], [0.000, 0.000, 5.855]],
  "species": ["Ca", "Te", "S", "Cl", "Cl"],
  "fractional_positions": [[0.000, 0.000, 0.000], [0.500, 0.500, 0.500], [0.000, 0.000, 0.500], [0.000, 0.500, 0.000], [0.500, 0.000, 0.000]],
  "magnetic_moment_mub_per_fu": 1.37
}

---

Short version: (one) is the least stable of them.

---

(one)
{
  "formula": "CaTiSCl2",
  "functional": "GGA-PBE",
  "state": "relaxed",
  "lattice_angstrom": [[4.782, 0.000, 0.000], [0.000, 4.782, 0.000], [0.000, 0.000, 4.877]],
  "species": ["Ca", "Ti", "S", "Cl", "Cl"],
  "fractional_positions": [[0.000, 0.000, 0.000], [0.500, 0.500, 0.500], [0.500, 0.500, 0.000], [0.000, 0.500, 0.500], [0.500, 0.000, 0.500]],
  "magnetic_moment_mub_per_fu": 0.58
}

---

(two)
{
  "formula": "CaTiSCl2",
  "functional": "GGA-PBE",
  "state": "relaxed",
  "lattice_angstrom": [[5.045, 0.000, 0.000], [0.000, 5.045, 0.000], [0.000, 0.000, 5.547]],
  "species": ["Ca", "Ti", "S", "Cl", "Cl"],
  "fractional_positions": [[0.000, 0.000, 0.000], [0.500, 0.500, 0.500], [0.000, 0.000, 0.500], [0.000, 0.500, 0.000], [0.500, 0.000, 0.000]],
  "magnetic_moment_mub_per_fu": 2.00
}

---

Short version: (two) is the least stable of them.

---

(one)
{
  "formula": "CaVSCl2",
  "functional": "GGA-PBE",
  "state": "relaxed",
  "lattice_angstrom": [[5.065, 0.000, 0.000], [0.000, 5.065, 0.000], [0.000, 0.000, 5.539]],
  "species": ["Ca", "V", "S", "Cl", "Cl"],
  "fractional_positions": [[0.000, 0.000, 0.000], [0.500, 0.500, 0.500], [0.000, 0.000, 0.500], [0.000, 0.500, 0.000], [0.500, 0.000, 0.000]],
  "magnetic_moment_mub_per_fu": 3.00
}

---

(two)
{
  "formula": "CaVSCl2",
  "functional": "GGA-PBE",
  "state": "relaxed",
  "lattice_angstrom": [[4.747, 0.000, 0.000], [0.000, 4.747, 0.000], [0.000, 0.000, 5.001]],
  "species": ["Ca", "V", "S", "Cl", "Cl"],
  "fractional_positions": [[0.000, 0.000, 0.000], [0.500, 0.500, 0.500], [0.500, 0.500, 0.000], [0.000, 0.500, 0.500], [0.500, 0.000, 0.500]],
  "magnetic_moment_mub_per_fu": 3.00
}

---

Short version: (one) is the least stable of them.